Entry 1:
Computed, not measured: Pr4PtSe3 after structural relaxation at the PBE level of DFT.

Cell lengths 7.468, 7.468, 4.207 Å; angles 90.00, 90.00, 109.23 degrees
Element x y z (fractional)
Pr 0.237 0.237 0.500
Pr 0.249 0.751 0.000
Pr 0.751 0.249 0.000
Pr 0.763 0.763 0.500
Pt 0.000 0.000 0.000
Se 0.000 0.500 0.500
Se 0.500 0.000 0.500
Se 0.500 0.500 0.000

Results
As for the symmetry: Cmmm, No. 65. The energy is -6.105 eV/atom. The size of the total moment comes out at 0.0 μB per formula unit. The value obtained for the formation energy (no corrections) is -1.653 eV/atom. For the offset from the most stable computed form, the calculation gives 0.000 eV/atom.


Entry 2:
Computed, not measured: LaBeRe2 after structural relaxation at the PBE level of DFT.

Cell lengths 4.224, 4.224, 4.298 Å; angles 90.00, 90.00, 103.06 degrees
Element x y z (fractional)
La 0.000 0.000 0.000
Be 0.500 0.500 0.000
Re 0.323 0.677 0.500
Re 0.677 0.323 0.500

Results
As for the symmetry: Cmmm, No. 65. For the formation energy, the calculation gives 0.402 eV/atom. The energy is -7.985 eV/atom. The size of the total moment comes out at 0.0 μB per formula unit.


Entry 3:
Computed, not measured: Sr2Li4Os after structural relaxation at the PBE level of DFT.

Cell lengths 8.872, 8.872, 8.872 Å; angles 148.15, 148.15, 45.66 degrees
Element x y z (fractional)
Sr 0.126 0.126 0.000
Sr 0.874 0.874 0.000
Li 0.000 0.500 0.500
Li 0.347 0.347 0.000
Li 0.500 0.000 0.500
Li 0.653 0.653 0.000
Os 0.500 0.500 0.000

Results
As for the symmetry: I4/mmm, No. 139. For the formation energy, the calculation gives 0.441 eV/atom. The energy is -2.738 eV/atom. The size of the total moment comes out at 0.0 μB per formula unit.


Entry 4:
Computed, not measured: Ba2BeNi after structural relaxation at the PBE level of DFT.

Cell lengths 5.479, 5.479, 5.479 Å; angles 60.00, 60.00, 60.00 degrees
Element x y z (fractional)
Ba 0.250 0.250 0.250
Ba 0.750 0.750 0.750
Be 0.000 0.000 0.000
Ni 0.500 0.500 0.500

Results
As for the symmetry: Fm-3m, No. 225. For the formation energy, the calculation gives 0.459 eV/atom. The energy is -2.880 eV/atom. The size of the total moment comes out at 0.0 μB per formula unit. For the offset from the most stable computed form, the calculation gives 0.354 eV/atom.